No. 1
Here is a relaxed structure of CsK2Cl2 from Alexandria. Energies are from GGA-PBE.

Calculated values
The space-group type is P4/mbm. Its uncorrected formation energy is -1360 meV/atom. As for the energy above the most stable polymorph in this dataset: 0.57 eV/f.u.

The structure in CIF format:
```
data_CsK2Cl2
_cell_length_a 9.187
_cell_length_b 9.187
_cell_length_c 4.783
_cell_angle_alpha 90.00
_cell_angle_beta 90.00
_cell_angle_gamma 90.00
_symmetry_space_group_name_H-M 'P 1'
_symmetry_Int_Tables_number 1
_symmetry_space_group_name_Hall 'P 1'
loop_
_atom_site_label
_atom_site_type_symbol
_atom_site_fract_x
_atom_site_fract_y
_atom_site_fract_z
_atom_site_occupancy
Cl1 Cl 0.654 0.154 0.000 1
Cs1 Cs 0.500 0.500 0.000 1
K1 K 0.851 0.351 0.500 1
Cl2 Cl 0.346 0.846 0.000 1
K2 K 0.149 0.649 0.500 1
Cl3 Cl 0.846 0.654 0.000 1
K3 K 0.649 0.851 0.500 1
Cs2 Cs 0.000 0.000 0.000 1
K4 K 0.351 0.149 0.500 1
Cl4 Cl 0.154 0.346 0.000 1
```

No. 2
Here is a relaxed structure of Cs5K3Cl8 from Alexandria. Energies are from GGA-PBE.

Calculated values
The space-group type is R-3m. Its uncorrected formation energy is -1948 meV/atom.

The structure in CIF format:
```
data_Cs5K3Cl8
_cell_length_a 9.626
_cell_length_b 9.626
_cell_length_c 9.657
_cell_angle_alpha 60.11
_cell_angle_beta 60.11
_cell_angle_gamma 60.00
_symmetry_space_group_name_H-M 'P 1'
_symmetry_Int_Tables_number 1
_symmetry_space_group_name_Hall 'P 1'
loop_
_atom_site_label
_atom_site_type_symbol
_atom_site_fract_x
_atom_site_fract_y
_atom_site_fract_z
_atom_site_occupancy
Cl1 Cl 0.757 0.757 0.728 1
Cs1 Cs 0.500 0.500 0.000 1
K1 K 0.000 0.500 0.500 1
Cl2 Cl 0.768 0.250 0.732 1
K2 K 0.000 0.000 0.500 1
Cl3 Cl 0.250 0.768 0.732 1
Cs2 Cs 0.500 0.000 0.000 1
Cl4 Cl 0.232 0.750 0.268 1
Cl5 Cl 0.250 0.250 0.732 1
Cs3 Cs 0.000 0.500 0.000 1
Cs4 Cs 0.500 0.500 0.500 1
Cl6 Cl 0.750 0.750 0.268 1
Cs5 Cs 0.000 0.000 0.000 1
Cl7 Cl 0.750 0.232 0.268 1
Cl8 Cl 0.243 0.243 0.272 1
K3 K 0.500 0.000 0.500 1
```

No. 3
Here is a relaxed structure of Cs3KCl from Alexandria. Energies are from GGA-PBE.

Calculated values
The space-group type is Pm-3m. Its uncorrected formation energy is -211 meV/atom. As for the energy above the most stable polymorph in this dataset: 2.72 eV/f.u.

The structure in CIF format:
```
data_Cs3KCl
_cell_length_a 8.367
_cell_length_b 8.367
_cell_length_c 8.367
_cell_angle_alpha 90.00
_cell_angle_beta 90.00
_cell_angle_gamma 90.00
_symmetry_space_group_name_H-M 'P 1'
_symmetry_Int_Tables_number 1
_symmetry_space_group_name_Hall 'P 1'
loop_
_atom_site_label
_atom_site_type_symbol
_atom_site_fract_x
_atom_site_fract_y
_atom_site_fract_z
_atom_site_occupancy
Cs1 Cs 0.000 0.500 0.000 1
K1 K 0.000 0.000 0.000 1
Cs2 Cs 0.000 0.000 0.500 1
Cs3 Cs 0.500 0.000 0.000 1
Cl1 Cl 0.500 0.500 0.500 1
```

Please write out number 1 again, unchanged.
Here is a relaxed structure of CsK2Cl2 from Alexandria. Energies are from GGA-PBE.

Calculated values
The space-group type is P4/mbm. Its uncorrected formation energy is -1360 meV/atom. As for the energy above the most stable polymorph in this dataset: 0.57 eV/f.u.

The structure in CIF format:
```
data_CsK2Cl2
_cell_length_a 9.187
_cell_length_b 9.187
_cell_length_c 4.783
_cell_angle_alpha 90.00
_cell_angle_beta 90.00
_cell_angle_gamma 90.00
_symmetry_space_group_name_H-M 'P 1'
_symmetry_Int_Tables_number 1
_symmetry_space_group_name_Hall 'P 1'
loop_
_atom_site_label
_atom_site_type_symbol
_atom_site_fract_x
_atom_site_fract_y
_atom_site_fract_z
_atom_site_occupancy
Cl1 Cl 0.654 0.154 0.000 1
Cs1 Cs 0.500 0.500 0.000 1
K1 K 0.851 0.351 0.500 1
Cl2 Cl 0.346 0.846 0.000 1
K2 K 0.149 0.649 0.500 1
Cl3 Cl 0.846 0.654 0.000 1
K3 K 0.649 0.851 0.500 1
Cs2 Cs 0.000 0.000 0.000 1
K4 K 0.351 0.149 0.500 1
Cl4 Cl 0.154 0.346 0.000 1
```